(1)
DFT (PBE-GGA) results for Pm5Sm12Tl2 after structural relaxation.

Calculated values
* M_tot: 0.0 μB/f.u.
* formation energy: 0.009 eV/atom
* space group: No. 12

The structure in extended XYZ format:
```
19
Lattice="7.815 -4.728 0.000 7.815 4.728 0.000 -0.450 0.000 8.566" Properties=species:S:1:pos:R:3 pbc="T T T"
Pm 0.000 0.000 0.000
Pm 3.605 0.000 0.712
Pm 4.658 0.000 4.229
Pm 10.523 0.000 4.337
Pm 11.576 0.000 7.854
Sm 5.390 2.986 2.264
Sm 1.088 0.000 3.285
Sm 5.496 1.827 7.188
Sm 9.791 2.986 6.303
Sm 9.685 1.827 1.378
Sm 6.876 0.000 1.547
Sm 8.305 0.000 7.019
Sm 5.496 -1.827 7.188
Sm 5.390 -2.986 2.264
Sm 9.685 -1.827 1.378
Sm 14.093 0.000 5.281
Sm 9.791 -2.986 6.303
Tl 7.590 1.749 4.283
Tl 7.590 -1.749 4.283
```

=====

(2)
DFT (PBE-GGA) results for PmSm4Tl7 after structural relaxation.

Calculated values
* M_tot: 0.0 μB/f.u.
* formation energy: -0.154 eV/atom
* space group: No. 12

The structure in extended XYZ format:
```
12
Lattice="6.730 -2.886 0.000 6.730 2.886 0.000 -6.502 0.000 9.751" Properties=species:S:1:pos:R:3 pbc="T T T"
Pm 0.000 0.000 0.000
Sm -0.647 0.000 6.512
Sm 4.134 0.000 2.118
Sm 2.823 0.000 7.633
Sm 7.604 0.000 3.239
Tl -1.000 0.000 3.135
Tl -2.917 0.000 8.756
Tl 1.960 0.000 4.490
Tl 6.730 0.000 0.000
Tl 4.997 0.000 5.261
Tl 9.874 0.000 0.995
Tl 7.957 0.000 6.616
```

=====

(3)
DFT (PBE-GGA) results for Pm2Sm6Tl after structural relaxation.

Calculated values
* E above lowest polymorph: 0.000 eV per atom
* M_tot: 0.0 μB/f.u.
* formation energy: 0.053 eV/atom
* space group: No. 12

The structure in extended XYZ format:
```
9
Lattice="8.830 -4.831 0.000 8.830 4.831 0.000 -0.103 0.000 3.569" Properties=species:S:1:pos:R:3 pbc="T T T"
Pm 3.080 0.000 1.713
Pm 14.477 0.000 1.856
Sm 5.943 1.674 0.034
Sm 8.778 2.900 1.784
Sm 11.614 1.674 3.534
Sm 5.943 -1.674 0.034
Sm 8.778 -2.900 1.784
Sm 11.614 -1.674 3.534
Tl 8.830 0.000 0.000
```

=====

(4)
DFT (PBE-GGA) results for Pm12Sm6Tl after structural relaxation.

Calculated values
* M_tot: 0.0 μB/f.u.
* formation energy: 0.075 eV/atom
* space group: No. 148

The structure in extended XYZ format:
```
19
Lattice="6.053 3.495 5.108 -6.053 3.495 5.108 0.000 -6.989 5.108" Properties=species:S:1:pos:R:3 pbc="T T T"
Pm -1.476 -5.398 6.393
Pm -5.413 -1.421 8.931
Pm -1.072 -1.800 4.802
Pm -3.937 3.977 6.393
Pm -1.023 1.828 4.802
Pm 2.095 -0.028 4.802
Pm -2.095 0.028 10.522
Pm 1.023 -1.828 10.522
Pm 3.937 -3.977 8.931
Pm 1.072 1.800 10.522
Pm 5.413 1.421 6.393
Pm 1.476 5.398 8.931
Sm -2.371 -2.498 7.962
Sm -3.349 0.804 7.362
Sm 0.978 -3.303 7.362
Sm -0.978 3.303 7.962
Sm 3.349 -0.804 7.962
Sm 2.371 2.498 7.362
Tl 0.000 0.000 7.662
```

=====

> What is the M_tot in the first record?

0.0 μB/f.u.

=====

> formation energy of number 3 (Pm2Sm6Tl)?

0.053 eV/atom